The following is a PBE with a Hubbard U calculation of crystalline CrSiAg2F at its relaxed geometry, from Alexandria via LeMat-Bulk.

Values from the calculation:
The total energy comes out at -4.098 eV per atom. The calculation puts the mass density at 5.64 g cm⁻³.

Cell: 4.896 4.896 3.866 Å, 90.00 90.00 90.00°
Atoms (fractional coordinates):
Cr 0.000 0.000 0.000
Si 0.500 0.500 0.000
Ag 0.000 0.500 0.500
Ag 0.500 0.000 0.500
F 0.000 0.000 0.500